No. 1
Below is a PBEsol-optimized structure of KCuRu, with properties calculated at the meta-GGA SCAN level.

Cell: 3.1601 3.1601 12.0219 Å, 90.00 90.00 90.00°
Last column: nearest neighbours and their distance in Å.
Sites, in units of the cell vectors:
K  0.0000  0.0000  0.0000  4 K 3.16, 5 Cu 3.37-3.49, 5 Ru 3.41-3.43
K  0.5000  0.5000  0.5000  4 K 3.16, 5 Cu 3.37-3.49, 5 Ru 3.41-3.43
Cu  0.0000  0.0000  0.7095  4 Ru 2.41
Cu  0.5000  0.5000  0.2095  4 Ru 2.41
Ru  0.0000  0.0000  0.2836  4 Cu 2.41
Ru  0.5000  0.5000  0.7836  4 Cu 2.41

Energy of formation = 0.878 eV/atom
Space group = I4mm

---

No. 2
Below is a PBEsol-optimized structure of KCu7S4, with properties calculated at the meta-GGA SCAN level.

Cell: 3.7579 7.2178 7.3113 Å, 85.73 75.22 75.44°
Last column: nearest neighbours and their distance in Å.
Sites, in units of the cell vectors:
K  0.0000  0.0000  0.0000  8 S 3.17-3.34, 2 Cu 3.52-3.54
Cu  0.0301  0.3263  0.6046  3 S 2.24-2.35
Cu  0.2688  0.4439  0.0813  3 S 2.23-2.44
Cu  0.2874  0.9163  0.4849  3 S 2.22-2.33
Cu  0.4111  0.5906  0.6361  2 S 2.24-2.38, 2 Cu 2.51
Cu  0.6657  0.3759  0.3327  3 S 2.28-2.31
Cu  0.8048  0.5806  0.8748  2 S 2.26-2.30, 1 Cu 2.51
Cu  0.9905  0.6523  0.3819  3 S 2.28-2.40
S  0.2574  0.1883  0.3196  5 Cu 2.22-2.44
S  0.4315  0.3127  0.7964  4 Cu 2.23-2.35
S  0.5690  0.6682  0.1803  5 Cu 2.26-2.43
S  0.7515  0.8236  0.6544  5 Cu 2.28-2.38

Energy relative to the elements, uncorrected = -365 meV/atom
Space group = P1

---

No. 3
Below is a PBEsol-optimized structure of KCuS, with properties calculated at the meta-GGA SCAN level.

Cell: 10.6588 5.1934 6.1837 Å, 90.00 90.00 90.00°
Last column: nearest neighbours and their distance in Å.
Sites, in units of the cell vectors:
K  0.1537  0.2500  0.0178  4 S 3.12-3.16
K  0.3463  0.7500  0.5178  4 S 3.12-3.16
K  0.6537  0.2500  0.4822  4 S 3.12-3.16
K  0.8463  0.7500  0.9822  4 S 3.12-3.16
Cu  0.0000  0.0000  0.5000  2 S 2.13
Cu  0.0000  0.5000  0.5000  2 S 2.13
Cu  0.5000  0.0000  0.0000  2 S 2.13
Cu  0.5000  0.5000  0.0000  2 S 2.13
S  0.0898  0.7500  0.2747  2 Cu 2.13
S  0.4102  0.2500  0.7747  2 Cu 2.13
S  0.5898  0.7500  0.2253  2 Cu 2.13
S  0.9102  0.2500  0.7253  2 Cu 2.13

Energy relative to the elements, uncorrected = -858 meV/atom
Space group = Pnma

---

No. 4
Below is a PBEsol-optimized structure of K3Cu4S4, with properties calculated at the meta-GGA SCAN level.

Cell: 7.7959 15.3862 3.7413 Å, 90.00 90.00 90.00°
Last column: nearest neighbours and their distance in Å.
Sites, in units of the cell vectors:
K  0.0000  0.0000  0.0000  6 S 3.11-3.18, 4 Cu 3.43
K  0.0264  0.2341  0.5000  6 S 3.18-3.23, 3 Cu 3.44-3.51
K  0.4736  0.7341  0.5000  6 S 3.18-3.23, 3 Cu 3.44-3.51
K  0.5000  0.5000  0.0000  6 S 3.11-3.18, 4 Cu 3.43
K  0.5264  0.2659  0.5000  6 S 3.18-3.23, 3 Cu 3.44-3.51
K  0.9736  0.7659  0.5000  6 S 3.18-3.23, 3 Cu 3.44-3.51
Cu  0.0749  0.4201  0.0000  3 S 2.24-2.29
Cu  0.1481  0.5554  0.5000  3 S 2.29
Cu  0.3519  0.0554  0.5000  3 S 2.29
Cu  0.4251  0.9201  0.0000  3 S 2.24-2.29
Cu  0.5749  0.0799  0.0000  3 S 2.24-2.29
Cu  0.6481  0.9446  0.5000  3 S 2.29
Cu  0.8519  0.4446  0.5000  3 S 2.29
Cu  0.9251  0.5799  0.0000  3 S 2.24-2.29
S  0.1957  0.6374  0.0000  3 Cu 2.29
S  0.2328  0.4127  0.5000  3 Cu 2.24-2.29
S  0.2672  0.9127  0.5000  3 Cu 2.24-2.29
S  0.3043  0.1374  0.0000  3 Cu 2.29
S  0.6957  0.8626  0.0000  3 Cu 2.29
S  0.7328  0.0873  0.5000  3 Cu 2.24-2.29
S  0.7672  0.5873  0.5000  3 Cu 2.24-2.29
S  0.8043  0.3626  0.0000  3 Cu 2.29

Energy relative to the elements, uncorrected = -803 meV/atom
Space group = Pbam

---

No. 5
Below is a PBEsol-optimized structure of K2CuS, with properties calculated at the meta-GGA SCAN level.

Cell: 7.4083 7.4083 7.4083 Å, 90.00 90.00 90.00°
Last column: nearest neighbours and their distance in Å.
Sites, in units of the cell vectors:
K  0.2500  0.2500  0.2500  4 Cu 3.21, 4 S 3.21
K  0.2500  0.2500  0.7500  4 S 3.21, 4 Cu 3.21
K  0.2500  0.7500  0.2500  4 S 3.21, 4 Cu 3.21
K  0.2500  0.7500  0.7500  4 Cu 3.21, 4 S 3.21
K  0.7500  0.2500  0.2500  4 S 3.21, 4 Cu 3.21
K  0.7500  0.2500  0.7500  4 Cu 3.21, 4 S 3.21
K  0.7500  0.7500  0.2500  4 Cu 3.21, 4 S 3.21
K  0.7500  0.7500  0.7500  4 S 3.21, 4 Cu 3.21
Cu  0.0000  0.0000  0.0000  8 K 3.21
Cu  0.0000  0.5000  0.5000  8 K 3.21
Cu  0.5000  0.0000  0.5000  8 K 3.21
Cu  0.5000  0.5000  0.0000  8 K 3.21
S  0.0000  0.0000  0.5000  8 K 3.21
S  0.0000  0.5000  0.0000  8 K 3.21
S  0.5000  0.0000  0.0000  8 K 3.21
S  0.5000  0.5000  0.5000  8 K 3.21

Energy relative to the elements, uncorrected = -171 meV/atom
Space group = Fm-3m

---

No. 6
Below is a PBEsol-optimized structure of KCu2SbS3, with properties calculated at the meta-GGA SCAN level.

Cell: 6.3148 8.9838 10.3356 Å, 90.50 91.02 91.34°
Last column: nearest neighbours and their distance in Å.
Sites, in units of the cell vectors:
K  0.1952  0.4255  0.1321  6 S 3.18-3.38, 2 Cu 3.40-3.42
K  0.2969  0.5677  0.6286  7 S 3.16-3.49, 2 Cu 3.47
K  0.7031  0.4323  0.3714  7 S 3.16-3.49, 2 Cu 3.47
K  0.8048  0.5745  0.8679  6 S 3.18-3.38, 2 Cu 3.40-3.42
Cu  0.0050  0.8857  0.6724  3 S 2.24-2.28
Cu  0.0819  0.8343  0.0470  4 S 2.28-2.43
Cu  0.4255  0.1586  0.5372  4 S 2.28-2.33
Cu  0.4855  0.2619  0.8631  3 S 2.26-2.27
Cu  0.5145  0.7381  0.1369  3 S 2.26-2.27
Cu  0.5745  0.8414  0.4628  4 S 2.28-2.33
Cu  0.9181  0.1657  0.9530  4 S 2.28-2.43
Cu  0.9950  0.1143  0.3276  3 S 2.24-2.28
Sb  0.0335  0.8218  0.3555  3 S 2.49-2.51, 1 Cu 2.66
Sb  0.4750  0.9579  0.8536  3 S 2.48-2.52, 1 Cu 2.73
Sb  0.5250  0.0421  0.1464  3 S 2.48-2.52, 1 Cu 2.73
Sb  0.9665  0.1782  0.6445  3 S 2.49-2.51, 1 Cu 2.66
S  0.1316  0.0735  0.1321  3 Cu 2.24-2.43, 1 Sb 2.51
S  0.1384  0.3114  0.8328  2 Cu 2.26-2.28, 1 Sb 2.49
S  0.1507  0.2910  0.4544  2 Cu 2.25-2.28, 1 Sb 2.51
S  0.3448  0.7125  0.9426  2 Cu 2.27-2.29, 1 Sb 2.52
S  0.3533  0.9253  0.6252  3 Cu 2.28-2.33, 1 Sb 2.48
S  0.3709  0.6864  0.3302  2 Cu 2.26-2.30, 1 Sb 2.49
S  0.6291  0.3136  0.6698  2 Cu 2.26-2.30, 1 Sb 2.49
S  0.6467  0.0747  0.3748  3 Cu 2.28-2.33, 1 Sb 2.48
S  0.6552  0.2875  0.0574  2 Cu 2.27-2.29, 1 Sb 2.52
S  0.8493  0.7090  0.5456  2 Cu 2.25-2.28, 1 Sb 2.51
S  0.8616  0.6886  0.1672  2 Cu 2.26-2.28, 1 Sb 2.49
S  0.8684  0.9265  0.8679  3 Cu 2.24-2.43, 1 Sb 2.51

Energy relative to the elements, uncorrected = -568 meV/atom
Space group = P-1